Record 1
# Ba3In2MoO9

A relaxed structure of Ba3In2MoO9 (PBEsol, the Alexandria database).

CIF file:
```
data_Ba3In2MoO9
_chemical_formula_sum 'Ba3 In2 Mo1 O9'
_cell_length_a 5.8760
_cell_length_b 5.8760
_cell_length_c 7.1886
_cell_angle_alpha 90.00
_cell_angle_beta 90.00
_cell_angle_gamma 120.00
_symmetry_space_group_name_H-M 'P -3 m 1'
_symmetry_Int_Tables_number 164
_symmetry_space_group_name_Hall '-P 3 2"'
loop_
_atom_site_label
_atom_site_type_symbol
_atom_site_fract_x
_atom_site_fract_y
_atom_site_fract_z
Ba1 Ba 0.0000 0.0000 0.0000
Ba2 Ba 0.3333 0.6667 0.6865
In1 In 0.3333 0.6667 0.1688
Mo1 Mo 0.0000 0.0000 0.5000
O1 O 0.0000 0.5000 0.0000
O2 O 0.1552 0.3104 0.3480
```

Its calculated volume is 214.9 Å³/cell. The density of states at the Fermi level is 0.000 states/eV per atom. The calculation puts the final energy at -0.51861 Ry/atom.


Record 2
# Ca2AlIn

A relaxed structure of Ca2AlIn (PBEsol, the Alexandria database).

CIF file:
```
data_Ca2AlIn
_chemical_formula_sum 'Ca8 Al4 In4'
_cell_length_a 7.457
_cell_length_b 7.457
_cell_length_c 7.457
_cell_angle_alpha 90.00
_cell_angle_beta 90.00
_cell_angle_gamma 90.00
_symmetry_space_group_name_H-M 'F m -3 m'
_symmetry_Int_Tables_number 225
_symmetry_space_group_name_Hall '-F 4 2 3'
loop_
_atom_site_label
_atom_site_type_symbol
_atom_site_fract_x
_atom_site_fract_y
_atom_site_fract_z
Ca1 Ca 0.250 0.250 0.250
Al1 Al 0.000 0.000 0.000
In1 In 0.000 0.000 0.500
```

For the formation energy, the calculation gives -1.388 eV/f.u. Its calculated volume is 414.7 Å³/cell. The density of states at the Fermi level is 0.474 states/eV per atom. The calculation puts the final energy at -0.23389 Ry/atom. The offset from the most stable computed form comes out at 0.0 meV/atom.


Record 3
# Tl3Zn

A relaxed structure of Tl3Zn (PBEsol, the Alexandria database).

CIF file:
```
data_Tl3Zn
_chemical_formula_sum 'Tl9 Zn3'
_cell_length_a 10.2973
_cell_length_b 10.2973
_cell_length_c 3.3441
_cell_angle_alpha 90.00
_cell_angle_beta 90.00
_cell_angle_gamma 120.00
_symmetry_space_group_name_H-M 'R -3 m'
_symmetry_Int_Tables_number 166
_symmetry_space_group_name_Hall '-R 3 2"'
loop_
_atom_site_label
_atom_site_type_symbol
_atom_site_fract_x
_atom_site_fract_y
_atom_site_fract_z
Tl1 Tl 0.0000 0.5000 0.0000
Zn1 Zn 0.0000 0.0000 0.0000
```

For the formation energy, the calculation gives 0.660 eV/f.u. Its calculated volume is 307.1 Å³/cell. The density of states at the Fermi level is 0.433 states/eV per atom. The calculation puts the final energy at -0.16192 Ry/atom.


Record 4
# Re2SbOs

A relaxed structure of Re2SbOs (PBEsol, the Alexandria database).

CIF file:
```
data_Re2SbOs
_chemical_formula_sum 'Re4 Sb2 Os2'
_cell_length_a 4.109
_cell_length_b 2.847
_cell_length_c 10.826
_cell_angle_alpha 90.00
_cell_angle_beta 90.00
_cell_angle_gamma 90.00
_symmetry_space_group_name_H-M 'A m m 2'
_symmetry_Int_Tables_number 38
loop_
_symmetry_equiv_pos_as_xyz
'x,y,z'
'-x,-y,z'
'-x,y,z'
'x,-y,z'
'x,y+1/2,z+1/2'
'-x,-y+1/2,z+1/2'
'-x,y+1/2,z+1/2'
'x,-y+1/2,z+1/2'
loop_
_atom_site_label
_atom_site_type_symbol
_atom_site_fract_x
_atom_site_fract_y
_atom_site_fract_z
Re1 Re 0.000 0.000 0.000
Re2 Re 0.500 0.000 0.369
Sb1 Sb 0.000 0.000 0.754
Os1 Os 0.500 0.000 0.606
```

Its calculated volume is 126.6 Å³/cell. The density of states at the Fermi level is 0.679 states/eV per atom. The calculation puts the final energy at -0.75976 Ry/atom.


- Which value of final energy does entry 2 give?
  -0.23389 Ry/atom


- The highest calculated volume belongs to which entry?
  Ca2AlIn


- Which of these has the lowest calculated volume?
  Re2SbOs